! Tm2BeN PBE relaxed; values from VASP
&SYSTEM
  ibrav = 0, nat = 4, ntyp = 3
/
ATOMIC_SPECIES
N 14.01 N.upf
Be 9.01 Be.upf
Tm 168.93 Tm.upf
CELL_PARAMETERS angstrom
3.351 0.000 0.000
1.675 2.902 0.000
1.675 0.967 8.320
ATOMIC_POSITIONS angstrom
N 3.351 1.935 4.160
Be 0.000 0.000 0.000
Tm 5.026 2.902 2.850
Tm 1.675 0.967 5.470
! Energy relative to the elements, uncorrected in eV/atom: -0.1966
! Energy in hartree per atom: -0.200
! DOS at the Fermi energy in states/eV per cell: 3.600

---

! Pm6ZnIr2 PBE relaxed; values from VASP
&SYSTEM
  ibrav = 0, nat = 9, ntyp = 3
/
ATOMIC_SPECIES
Ir 192.22 Ir.upf
Pm 145.00 Pm.upf
Zn 65.41 Zn.upf
CELL_PARAMETERS angstrom
5.010 0.000 -0.190
0.000 7.053 0.000
-2.226 -3.527 7.513
ATOMIC_POSITIONS angstrom
Ir 2.598 3.527 2.379
Pm 2.690 1.720 4.798
Pm 0.094 1.806 2.524
Pm 2.505 5.194 -0.095
Pm 0.094 5.247 2.524
Zn 0.000 0.000 0.000
Pm 2.505 1.859 -0.095
Pm 2.690 -1.720 4.798
Ir 0.187 0.000 4.943
! Energy in hartree per atom: -0.207
! DOS at the Fermi energy in states/eV per cell: 12.129

---

! Ba3Sr2Ca2In4 PBE relaxed; values from VASP
&SYSTEM
  ibrav = 0, nat = 11, ntyp = 4
/
ATOMIC_SPECIES
In 114.82 In.upf
Sr 87.62 Sr.upf
Ca 40.08 Ca.upf
Ba 137.33 Ba.upf
CELL_PARAMETERS angstrom
5.922 0.000 0.000
-2.961 5.128 0.000
0.000 0.000 14.543
ATOMIC_POSITIONS angstrom
In 2.961 1.709 1.892
Sr 0.000 3.419 8.494
In 0.000 3.419 5.063
Ca 0.000 3.419 1.751
Ba 0.000 0.000 4.015
In 2.961 1.709 9.480
Ba 0.000 0.000 10.528
Sr 2.961 1.709 6.049
Ca 2.961 1.709 12.792
In 0.000 3.419 12.652
Ba 0.000 0.000 0.000
! Energy in hartree per atom: -0.090
! DOS at the Fermi energy in states/eV per cell: 15.297

---

! MgPaAg PBE relaxed; values from VASP
&SYSTEM
  ibrav = 0, nat = 6, ntyp = 3
/
ATOMIC_SPECIES
Pa 231.04 Pa.upf
Mg 24.30 Mg.upf
Ag 107.87 Ag.upf
CELL_PARAMETERS angstrom
-0.858 -4.748 0.028
1.859 -2.807 -3.455
6.054 -3.529 2.756
ATOMIC_POSITIONS angstrom
Pa 3.633 -3.101 1.106
Mg 0.992 -2.635 -0.694
Ag 2.266 -5.319 -1.195
Ag 4.789 -5.765 0.524
Pa 3.422 -7.983 -1.777
Mg 6.063 -8.449 0.023
! Distance to the lowest polymorph of the same formula in meV/atom: 0
! Energy in hartree per atom: -0.165
! DOS at the Fermi energy in states/eV per cell: 6.715

---

! Pu4TcOs PBE relaxed; values from VASP
&SYSTEM
  ibrav = 0, nat = 12, ntyp = 3
/
ATOMIC_SPECIES
Pu 244.00 Pu.upf
Tc 98.00 Tc.upf
Os 190.23 Os.upf
CELL_PARAMETERS angstrom
5.557 -0.437 -1.739
-3.057 6.877 -2.702
0.179 0.021 6.894
ATOMIC_POSITIONS angstrom
Pu -0.231 3.989 3.364
Tc 4.179 -0.233 -1.327
Tc -1.500 6.693 3.781
Pu 0.468 1.753 1.370
Os 0.122 4.054 -0.334
Pu 2.863 4.536 -2.504
Pu -0.922 6.650 1.141
Pu 2.910 2.471 -0.911
Pu 2.211 4.707 1.084
Pu -0.184 1.924 4.957
Pu 3.602 -0.190 1.312
Os 2.557 2.406 2.788
! Distance to the lowest polymorph of the same formula in meV/atom: 0
! Energy in hartree per atom: -0.480
! DOS at the Fermi energy in states/eV per cell: 43.895

---

! Tb2NdSm2Y PBE relaxed; values from VASP
&SYSTEM
  ibrav = 0, nat = 12, ntyp = 4
/
ATOMIC_SPECIES
Tb 158.93 Tb.upf
Sm 150.36 Sm.upf
Nd 144.24 Nd.upf
Y 88.91 Y.upf
CELL_PARAMETERS angstrom
-1.094 0.524 3.191
-5.206 -4.010 -1.127
9.629 -14.078 5.614
ATOMIC_POSITIONS angstrom
Tb 4.397 -14.920 3.957
Sm -2.222 -5.673 0.169
Tb 0.026 -3.169 0.529
Sm 6.645 -12.415 4.317
Nd 4.815 -7.039 2.807
Sm 2.230 -12.309 4.611
Nd -3.150 -1.743 1.032
Sm 1.100 -5.256 3.066
Tb 4.496 -9.791 4.975
Tb -1.167 -7.774 2.702
Y 1.665 -8.782 3.839
Y 0.000 0.000 0.000
! Energy in hartree per atom: -0.174
! DOS at the Fermi energy in states/eV per cell: 19.806